Entry from Alexandria: a geometry-optimized BaCr2Re structure (PBE-GGA).

Calculated values
**SG**: No. 99
**Formation energy**: 0.808 eV per atom
**Relative energy among the computed polymorphs**: 0.117 eV/atom
**Calculated total energy**: -7.60 eV per atom

Unit cell a=3.194 b=3.195 c=8.399 alpha=67.60 beta=90.00 gamma=90.00
Sites, in units of the cell vectors:
Ba: 0.500 0.750 0.749
Cr: 0.000 0.890 0.111
Cr: 0.500 0.259 0.241
Re: 0.000 0.600 0.399